# 1
Here is crystalline CuNiSn2 at its relaxed geometry from Alexandria via LeMat-Bulk. Energies are from PBE-GGA.

Output
distance to the lowest polymorph of the same formula: 353 meV/atom
energy of formation from the pure elements: 0.2651 eV per atom

Geometry as POSCAR:
```
CuNiSn2
1.0
6.950 0.000 0.000
0.000 6.950 0.000
3.475 3.475 3.349
Sn Ni Cu
4 2 2
direct
0.875 0.865 0.750 Sn
0.135 0.625 0.250 Sn
0.375 0.385 0.750 Sn
0.615 0.125 0.250 Sn
0.250 0.750 0.500 Ni
0.500 0.500 0.000 Ni
0.000 0.000 0.000 Cu
0.750 0.250 0.500 Cu
```

=====

# 2
Here is crystalline Cu2Ni15Sn2 at its relaxed geometry from Alexandria via LeMat-Bulk. Energies are from PBE-GGA.

Output
energy of formation from the pure elements: 0.0601 eV per atom

Geometry as POSCAR:
```
Cu2Ni15Sn2
1.0
6.232 0.064 0.057
0.872 6.171 0.057
0.872 0.766 6.123
Ni Sn Cu
15 2 2
direct
0.312 0.000 0.688 Ni
0.839 0.343 0.343 Ni
0.657 0.161 0.657 Ni
0.000 0.000 0.500 Ni
0.657 0.657 0.161 Ni
0.312 0.688 0.000 Ni
0.343 0.343 0.839 Ni
0.343 0.839 0.343 Ni
0.161 0.657 0.657 Ni
0.688 0.312 0.000 Ni
0.000 0.688 0.312 Ni
0.000 0.312 0.688 Ni
0.000 0.500 0.000 Ni
0.500 0.000 0.000 Ni
0.688 0.000 0.312 Ni
0.344 0.344 0.344 Sn
0.656 0.656 0.656 Sn
0.903 0.903 0.903 Cu
0.097 0.097 0.097 Cu
```

=====

# 3
Here is crystalline CuNiSn at its relaxed geometry from Alexandria via LeMat-Bulk. Energies are from PBE-GGA.

Output
energy of formation from the pure elements: 0.0812 eV per atom

Geometry as POSCAR:
```
CuNiSn
1.0
-0.402 -1.440 2.574
-0.070 -3.660 -2.057
3.637 1.537 1.428
Ni Cu Sn
1 1 1
direct
0.013 0.000 0.000 Ni
0.312 0.667 0.333 Cu
0.675 0.333 0.667 Sn
```

=====

# 4
Here is crystalline CuNi3Sn at its relaxed geometry from Alexandria via LeMat-Bulk. Energies are from PBE-GGA.

Output
distance to the lowest polymorph of the same formula: 520 meV/atom
energy of formation from the pure elements: 0.7043 eV per atom

Geometry as POSCAR:
```
CuNi3Sn
1.0
4.308 0.000 0.000
0.000 4.308 0.000
0.000 0.000 4.308
Sn Ni Cu
1 3 1
direct
0.500 0.500 0.500 Sn
0.500 0.000 0.000 Ni
0.000 0.500 0.000 Ni
0.000 0.000 0.500 Ni
0.000 0.000 0.000 Cu
```

=====

# 5
Here is crystalline CuNiSn2 at its relaxed geometry from Alexandria via LeMat-Bulk. Energies are from PBE-GGA.

Output
distance to the lowest polymorph of the same formula: 1 meV/atom
energy of formation from the pure elements: -0.0863 eV per atom

Geometry as POSCAR:
```
CuNiSn2
1.0
-3.023 2.613 -0.833
-2.409 -1.388 4.388
4.383 5.447 1.184
Sn Ni Cu
4 2 2
direct
0.750 0.230 0.426 Sn
0.250 0.798 0.067 Sn
0.750 0.202 0.933 Sn
0.250 0.770 0.574 Sn
0.250 0.355 0.206 Ni
0.750 0.645 0.794 Ni
0.750 0.670 0.283 Cu
0.250 0.330 0.717 Cu
```

=====

# 6
Here is crystalline CuNi2Sn2 at its relaxed geometry from Alexandria via LeMat-Bulk. Energies are from PBE-GGA.

Output
distance to the lowest polymorph of the same formula: 412 meV/atom
energy of formation from the pure elements: 0.3699 eV per atom

Geometry as POSCAR:
```
CuNi2Sn2
1.0
-2.489 0.333 3.502
2.498 -2.854 2.046
2.884 2.472 4.466
Cu Sn Ni
1 2 2
direct
0.000 0.000 0.000 Cu
0.250 0.750 0.500 Sn
0.750 0.250 0.500 Sn
0.387 0.387 0.225 Ni
0.613 0.613 0.775 Ni
```

=====

# 7
Here is crystalline CuNiSn at its relaxed geometry from Alexandria via LeMat-Bulk. Energies are from PBE-GGA.

Output
energy of formation from the pure elements: -0.0216 eV per atom

Geometry as POSCAR:
```
CuNiSn
1.0
3.329 0.000 0.000
0.000 3.329 0.000
-1.664 -1.664 4.038
Cu Ni Sn
1 1 1
direct
0.624 0.624 0.249 Cu
0.278 0.278 0.556 Ni
0.947 0.947 0.895 Sn
```

=====

# 8
Here is crystalline CuNiSn2 at its relaxed geometry from Alexandria via LeMat-Bulk. Energies are from PBE-GGA.

Output
distance to the lowest polymorph of the same formula: 223 meV/atom
energy of formation from the pure elements: 0.1348 eV per atom

Geometry as POSCAR:
```
CuNiSn2
1.0
0.000 3.291 3.291
3.291 0.000 3.291
3.291 3.291 0.000
Ni Sn Cu
1 2 1
direct
0.000 0.000 0.000 Ni
0.250 0.250 0.250 Sn
0.750 0.750 0.750 Sn
0.500 0.500 0.500 Cu
```

=====

# 9
Here is crystalline Cu3Ni4Sn at its relaxed geometry from Alexandria via LeMat-Bulk. Energies are from PBE-GGA.

Output
energy of formation from the pure elements: -0.0494 eV per atom

Geometry as POSCAR:
```
Cu3Ni4Sn
1.0
-0.037 -4.354 0.379
0.962 -0.468 -5.279
8.268 0.060 1.501
Ni Cu Sn
8 6 2
direct
0.500 0.763 0.500 Ni
0.500 0.237 0.000 Ni
0.864 0.236 0.250 Ni
0.864 0.764 0.250 Ni
0.136 0.764 0.750 Ni
0.500 0.237 0.500 Ni
0.500 0.763 0.000 Ni
0.136 0.236 0.750 Ni
0.606 0.500 0.750 Cu
0.000 0.000 0.500 Cu
0.394 0.500 0.250 Cu
0.366 0.000 0.250 Cu
0.634 0.000 0.750 Cu
0.000 0.000 0.000 Cu
0.000 0.500 0.000 Sn
0.000 0.500 0.500 Sn
```

=====

# 10
Here is crystalline Cu23Ni6Sn at its relaxed geometry from Alexandria via LeMat-Bulk. Energies are from PBE-GGA.

Output
energy of formation from the pure elements: 0.0855 eV per atom

Geometry as POSCAR:
```
Cu23Ni6Sn
1.0
-4.743 -5.940 -2.693
-1.714 -6.270 4.774
-7.441 -0.883 2.980
Cu Ni Sn
23 6 1
direct
0.087 0.638 0.638 Cu
0.500 0.000 0.000 Cu
0.000 0.500 0.000 Cu
0.362 0.362 0.913 Cu
0.000 0.000 0.000 Cu
0.126 0.126 0.126 Cu
0.378 0.874 0.874 Cu
0.874 0.874 0.874 Cu
0.874 0.378 0.874 Cu
0.874 0.874 0.378 Cu
0.000 0.500 0.500 Cu
0.638 0.087 0.638 Cu
0.638 0.638 0.087 Cu
0.500 0.500 0.000 Cu
0.126 0.622 0.126 Cu
0.638 0.638 0.638 Cu
0.000 0.000 0.500 Cu
0.622 0.126 0.126 Cu
0.362 0.362 0.362 Cu
0.362 0.913 0.362 Cu
0.126 0.126 0.622 Cu
0.913 0.362 0.362 Cu
0.500 0.000 0.500 Cu
0.746 0.746 0.254 Ni
0.746 0.254 0.746 Ni
0.254 0.746 0.254 Ni
0.254 0.746 0.746 Ni
0.254 0.254 0.746 Ni
0.746 0.254 0.254 Ni
0.500 0.500 0.500 Sn
```

=====

# 11
Here is crystalline CuNiSn6 at its relaxed geometry from Alexandria via LeMat-Bulk. Energies are from PBE-GGA.

Output
energy of formation from the pure elements: 0.0074 eV per atom

Geometry as POSCAR:
```
CuNiSn6
1.0
6.175 0.008 0.007
3.081 5.347 0.018
3.079 1.785 5.817
Sn Cu Ni
6 1 1
direct
0.241 0.957 0.245 Sn
0.441 0.760 0.753 Sn
0.044 0.443 0.751 Sn
0.759 0.043 0.755 Sn
0.956 0.557 0.249 Sn
0.559 0.240 0.247 Sn
0.500 0.500 0.500 Cu
0.000 0.000 0.000 Ni
```

=====

# 12
Here is crystalline CuNi5Sn2 at its relaxed geometry from Alexandria via LeMat-Bulk. Energies are from PBE-GGA.

Output
energy of formation from the pure elements: -0.1515 eV per atom

Geometry as POSCAR:
```
CuNi5Sn2
1.0
-3.874 3.137 1.761
-0.472 -2.267 -4.753
0.765 -4.698 2.301
Sn Ni Cu
2 5 1
direct
0.500 0.278 0.778 Sn
0.500 0.778 0.278 Sn
0.500 0.278 0.278 Ni
0.000 0.778 0.278 Ni
0.000 0.278 0.278 Ni
0.000 0.278 0.778 Ni
0.500 0.778 0.778 Ni
0.000 0.778 0.778 Cu
```

=====

- Which of these has the lowest energy of formation from the pure elements?
  CuNi5Sn2

=====

- Which formula does entry 9 have?
  Cu3Ni4Sn